(1)
A plane-wave DFT calculation with PBE was carried out for a relaxed KTc3I crystal.

a = 4.9764 Å, b = 4.9764 Å, c = 4.9764 Å
α = 90.00°, β = 90.00°, γ = 90.00°
With the nearest neighbours (Å) after each atom.
Fractional coordinates of all 5 atoms:
1 I 0.0000 0.0000 0.0000  6 Tc 2.49
2 Tc 0.0000 0.5000 0.0000  2 I 2.49
3 Tc 0.5000 0.0000 0.0000  2 I 2.49
4 K 0.5000 0.5000 0.5000  12 Tc 3.52
5 Tc 0.0000 0.0000 0.5000  2 I 2.49

Values from the calculation:
As for the offset from the most stable computed form: 0.0000 eV per atom. Its space-group type is No. 221.

***

(2)
A plane-wave DFT calculation with PBE was carried out for a relaxed Nd5Sm2Ho4 crystal.

a = 3.6126 Å, b = 8.8577 Å, c = 12.0058 Å
α = 104.15°, β = 98.65°, γ = 90.00°
With the nearest neighbours (Å) after each atom.
Fractional coordinates of all 11 atoms:
1 Ho 0.0462 0.3659 0.0924  4 Sm 3.56-3.60, 3 Nd 3.60-3.63, 5 Ho 3.60-3.61
2 Ho 0.9538 0.6341 0.9076  4 Sm 3.56-3.60, 3 Nd 3.60-3.63, 5 Ho 3.60-3.61
3 Nd 0.5000 0.0000 0.0000  6 Nd 3.61-3.62, 2 Sm 3.63, 4 Ho 3.63
4 Sm 0.4107 0.2781 0.8214  5 Ho 3.56-3.60, 2 Sm 3.61, 5 Nd 3.63-3.68
5 Nd 0.8637 0.9064 0.7274  3 Ho 3.60, 7 Nd 3.61-3.66, 2 Sm 3.68
6 Nd 0.7735 0.1873 0.5471  3 Ho 3.58-3.59, 7 Nd 3.61-3.70, 2 Sm 3.64
7 Nd 0.1363 0.0936 0.2726  3 Ho 3.60, 7 Nd 3.61-3.66, 2 Sm 3.68
8 Ho 0.6817 0.4546 0.3633  5 Nd 3.58-3.60, 6 Ho 3.60-3.63, 1 Sm 3.60
9 Ho 0.3183 0.5454 0.6367  5 Nd 3.58-3.60, 6 Ho 3.60-3.63, 1 Sm 3.60
10 Sm 0.5893 0.7219 0.1786  5 Ho 3.56-3.60, 2 Sm 3.61, 5 Nd 3.63-3.68
11 Nd 0.2265 0.8127 0.4529  3 Ho 3.58-3.59, 7 Nd 3.61-3.70, 2 Sm 3.64

Values from the calculation:
Its formation energy is 19 meV/atom. As for the offset from the most stable computed form: 0.0000 eV per atom. Its space-group type is No. 12.

***

(3)
A plane-wave DFT calculation with PBE was carried out for a relaxed NaOsC2O8 crystal.

a = 5.0626 Å, b = 5.0626 Å, c = 7.2758 Å
α = 90.00°, β = 90.00°, γ = 58.30°
With the nearest neighbours (Å) after each atom.
Fractional coordinates of all 12 atoms:
1 Os 0.0000 0.0000 0.0000  2 O 1.76
2 O 0.7395 0.2860 0.7979  1 C 1.33
3 O 0.8013 0.8013 0.9896  1 Os 1.76
4 C 0.5531 0.5531 0.2603  3 O 1.23-1.33
5 O 0.6458 0.6458 0.3870  1 C 1.23
6 O 0.7140 0.2605 0.2021  1 C 1.33
7 O 0.3542 0.3542 0.6130  1 C 1.23
8 O 0.2605 0.7140 0.2021  1 C 1.33
9 O 0.2860 0.7395 0.7979  1 C 1.33
10 Na 0.0000 0.0000 0.5000  4 O 2.55
11 C 0.4469 0.4469 0.7397  3 O 1.23-1.33
12 O 0.1987 0.1987 0.0104  1 Os 1.76

Values from the calculation:
Its space-group type is No. 12. Its total energy is -6.959 eV per atom.

***

(4)
A plane-wave DFT calculation with PBE was carried out for a relaxed LaAlGa2Cu4 crystal.

a = 4.1992 Å, b = 4.1992 Å, c = 9.0897 Å
α = 76.64°, β = 76.64°, γ = 60.00°
With the nearest neighbours (Å) after each atom.
Fractional coordinates of all 8 atoms:
1 La 0.0000 0.0000 0.0000  6 Cu 3.11, 6 Ga 3.36
2 Cu 0.1348 0.1348 0.5956  3 Al 2.56, 3 Ga 2.71
3 Cu 0.8652 0.8652 0.4044  3 Al 2.56, 3 Ga 2.71
4 Cu 0.4077 0.4077 0.7770  1 Al 2.43, 3 Ga 2.45
5 Cu 0.5923 0.5923 0.2230  1 Al 2.43, 3 Ga 2.45
6 Al 0.5000 0.5000 0.5000  8 Cu 2.43-2.56
7 Ga 0.7554 0.7554 0.7338  6 Cu 2.45-2.71
8 Ga 0.2446 0.2446 0.2662  6 Cu 2.45-2.71

Values from the calculation:
Its formation energy is -266 meV/atom. Its space-group type is No. 166.